A plane-wave DFT calculation with PBE+U was carried out for a relaxed LiMn2ClO3 crystal.

a = 6.3632 Å, b = 6.3632 Å, c = 6.3632 Å
α = 59.06°, β = 59.06°, γ = 59.06°
Each line ends with the local moment (μB).
Element x y z (fractional)
1 Li 0.4206 0.4206 0.4206  0.01
2 Li 0.5794 0.5794 0.5794  0.01
3 Mn 0.0000 0.0000 0.0000  4.39
4 Mn 0.5000 0.0000 0.0000  3.92
5 Mn 0.0000 0.5000 0.0000  3.92
6 Mn 0.0000 0.0000 0.5000  3.92
7 Cl 0.7200 0.7200 0.7200  0.10
8 Cl 0.2800 0.2800 0.2800  0.10
9 O 0.1821 0.7547 0.7547  -0.14
10 O 0.7547 0.1821 0.7547  -0.14
11 O 0.7547 0.7547 0.1821  -0.14
12 O 0.8179 0.2453 0.2453  -0.14
13 O 0.2453 0.8179 0.2453  -0.14
14 O 0.2453 0.2453 0.8179  -0.14

Values from the calculation:
Its space group is No. 166. For the calculated total energy, the calculation gives -6.3362 eV per atom.